# SCAN Nd2NiPtO6, single point on PBEsol structure
# Formation energy from raw total energies: -24.28 eV per formula unit
# Spin magnetization: 3.90 Bohr magnetons per cell
# Symmetry: P2_1/c
# DOS(E_F): 0.0 states/eV per cell
data_Nd2NiPtO6
_chemical_formula_sum 'Nd4 Ni2 Pt2 O12'
_cell_length_a 5.3457
_cell_length_b 5.7617
_cell_length_c 7.7027
_cell_angle_alpha 90.00
_cell_angle_beta 90.21
_cell_angle_gamma 90.00
_space_group_name_H-M_alt 'P 1'
_space_group_IT_number 1
_space_group_name_Hall 'P 1'
loop_
_atom_site_label
_atom_site_type_symbol
_atom_site_fract_x
_atom_site_fract_y
_atom_site_fract_z
Nd1 Nd 0.0220 0.5734 0.7495
Nd2 Nd 0.5220 0.9266 0.2495
Nd3 Nd 0.4780 0.0734 0.7505
Nd4 Nd 0.9780 0.4266 0.2505
O1 O 0.3996 0.5284 0.2471
O2 O 0.8090 0.6984 0.4497
O3 O 0.3104 0.8006 0.5502
O4 O 0.8104 0.6994 0.0502
O5 O 0.6004 0.4716 0.7529
O6 O 0.1910 0.3016 0.5503
O7 O 0.8996 0.9716 0.7471
O8 O 0.1004 0.0284 0.2529
O9 O 0.6896 0.1994 0.4498
O10 O 0.6910 0.1984 0.0503
O11 O 0.3090 0.8016 0.9497
O12 O 0.1896 0.3006 0.9498
Ni1 Ni 0.5000 0.5000 0.0000
Ni2 Ni 0.0000 0.0000 0.5000
Pt1 Pt 0.0000 0.0000 0.0000
Pt2 Pt 0.5000 0.5000 0.5000



# SCAN Nd6Ni20P13, single point on PBEsol structure
# ΔH_f (0 K): -0.9072 eV/atom
# Spin magnetization: 0.00 Bohr magnetons per cell
# Symmetry: P-6
# DOS(E_F): 25.7 states/eV per cell
data_Nd6Ni20P13
_chemical_formula_sum 'Nd6 Ni20 P13'
_cell_length_a 3.7904
_cell_length_b 12.6244
_cell_length_c 12.6244
_cell_angle_alpha 120.00
_cell_angle_beta 90.00
_cell_angle_gamma 90.00
_space_group_name_H-M_alt 'P 1'
_space_group_IT_number 1
_space_group_name_Hall 'P 1'
loop_
_atom_site_label
_atom_site_type_symbol
_atom_site_fract_x
_atom_site_fract_y
_atom_site_fract_z
Nd1 Nd 0.0000 0.5320 0.8143
Nd2 Nd 0.5000 0.7187 0.5331
Nd3 Nd 0.5000 0.4669 0.1856
Nd4 Nd 0.5000 0.8144 0.2813
Nd5 Nd 0.0000 0.1857 0.7177
Nd6 Nd 0.0000 0.2823 0.4680
P1 P 0.5000 0.0406 0.7682
P2 P 0.0000 0.5199 0.3864
P3 P 0.0000 0.2775 0.0429
P4 P 0.5000 0.2318 0.2724
P5 P 0.0000 0.7655 0.7225
P6 P 0.0000 0.9571 0.2345
P7 P 0.5000 0.1327 0.5194
P8 P 0.5000 0.3867 0.8673
P9 P 0.0000 0.8666 0.4801
P10 P 0.5000 0.7276 0.9594
P11 P 0.5000 0.4806 0.6133
P12 P 0.0000 0.0000 0.0000
P13 P 0.0000 0.6136 0.1334
Ni1 Ni 0.0000 0.1059 0.1936
Ni2 Ni 0.0000 0.4143 0.9763
Ni3 Ni 0.0000 0.5620 0.5857
Ni4 Ni 0.0000 0.9223 0.6823
Ni5 Ni 0.0000 0.8064 0.9124
Ni6 Ni 0.5000 0.3333 0.6667
Ni7 Ni 0.5000 0.9319 0.0771
Ni8 Ni 0.0000 0.0876 0.8941
Ni9 Ni 0.5000 0.9755 0.5653
Ni10 Ni 0.5000 0.0701 0.3120
Ni11 Ni 0.0000 0.3177 0.2399
Ni12 Ni 0.5000 0.5898 0.0245
Ni13 Ni 0.5000 0.9229 0.8548
Ni14 Ni 0.0000 0.6667 0.3333
Ni15 Ni 0.5000 0.1452 0.0681
Ni16 Ni 0.0000 0.7601 0.0777
Ni17 Ni 0.5000 0.6880 0.7581
Ni18 Ni 0.5000 0.2419 0.9299
Ni19 Ni 0.0000 0.0237 0.4380
Ni20 Ni 0.5000 0.4347 0.4102



# SCAN Nd2Ni12P5, single point on PBEsol structure
# ΔH_f (0 K): -0.7047 eV/atom
# Spin magnetization: 0.00 Bohr magnetons per cell
# Symmetry: P2_1/m
# DOS(E_F): 22.9 states/eV per cell
data_Nd2Ni12P5
_chemical_formula_sum 'Nd4 Ni24 P10'
_cell_length_a 3.6263
_cell_length_b 10.6997
_cell_length_c 12.9733
_cell_angle_alpha 107.95
_cell_angle_beta 90.00
_cell_angle_gamma 90.00
_space_group_name_H-M_alt 'P 1'
_space_group_IT_number 1
_space_group_name_Hall 'P 1'
loop_
_atom_site_label
_atom_site_type_symbol
_atom_site_fract_x
_atom_site_fract_y
_atom_site_fract_z
Ni1 Ni 0.7500 0.1595 0.4384
Ni2 Ni 0.2500 0.2979 0.0819
Ni3 Ni 0.7500 0.4045 0.6956
Ni4 Ni 0.7500 0.4179 0.0088
Ni5 Ni 0.7500 0.0090 0.8486
Ni6 Ni 0.7500 0.4209 0.5097
Ni7 Ni 0.2500 0.8405 0.5616
Ni8 Ni 0.7500 0.9362 0.4475
Ni9 Ni 0.2500 0.5955 0.3044
Ni10 Ni 0.2500 0.0704 0.9848
Ni11 Ni 0.7500 0.4370 0.2033
Ni12 Ni 0.2500 0.0638 0.5525
Ni13 Ni 0.2500 0.2862 0.5613
Ni14 Ni 0.7500 0.9296 0.0152
Ni15 Ni 0.2500 0.5630 0.7967
Ni16 Ni 0.7500 0.1593 0.1367
Ni17 Ni 0.2500 0.8407 0.8633
Ni18 Ni 0.7500 0.7021 0.9181
Ni19 Ni 0.2500 0.5791 0.4903
Ni20 Ni 0.2500 0.9910 0.1514
Ni21 Ni 0.2500 0.5821 0.9912
Ni22 Ni 0.7500 0.7138 0.4387
Ni23 Ni 0.2500 0.9954 0.3411
Ni24 Ni 0.7500 0.0046 0.6589
Nd1 Nd 0.7500 0.7197 0.6827
Nd2 Nd 0.7500 0.7539 0.1882
Nd3 Nd 0.2500 0.2461 0.8118
Nd4 Nd 0.2500 0.2803 0.3173
P1 P 0.7500 0.1881 0.6126
P2 P 0.7500 0.0499 0.2598
P3 P 0.2500 0.8008 0.0174
P4 P 0.7500 0.1992 0.9826
P5 P 0.2500 0.9501 0.7402
P6 P 0.7500 0.4913 0.8710
P7 P 0.7500 0.5063 0.3782
P8 P 0.2500 0.4937 0.6218
P9 P 0.2500 0.8119 0.3874
P10 P 0.2500 0.5087 0.1290



- What is the formula in the third record?
  Nd2Ni12P5